(1)
This record from Alexandria describes crystalline CrFeSn2 at its relaxed geometry. The functional is PBE.

The space group is I-42d, No. 122. The calculation puts the density of states at the Fermi level at 0.987 states/eV/atom.

```
data_CrFeSn2
_chemical_formula_sum 'Cr2 Fe2 Sn4'
_space_group_name_H-M_alt 'P 1'
_space_group_IT_number 1
_space_group_name_Hall 'P 1'
_cell_length_a 7.3834
_cell_length_b 7.3834
_cell_length_c 6.0027
_cell_angle_alpha 52.05
_cell_angle_beta 52.05
_cell_angle_gamma 90.00
loop_
_atom_site_label
_atom_site_fract_x
_atom_site_fract_y
_atom_site_fract_z
Sn1 0.1069 0.6250 0.2500
Cr1 0.5000 0.5000 0.0000
Fe1 0.0000 0.0000 0.0000
Fe2 0.7500 0.2500 0.5000
Cr2 0.2500 0.7500 0.5000
Sn2 0.8750 0.8931 0.7500
Sn3 0.3750 0.3569 0.7500
Sn4 0.6431 0.1250 0.2500
```

(2)
This record from Alexandria describes crystalline CrFeSn2 at its relaxed geometry. The functional is PBE.

The space group is Fm-3m, No. 225. The calculation puts the density of states at the Fermi level at 0.948 states/eV/atom.

```
data_CrFeSn2
_chemical_formula_sum 'Cr1 Fe1 Sn2'
_space_group_name_H-M_alt 'P 1'
_space_group_IT_number 1
_space_group_name_Hall 'P 1'
_cell_length_a 4.5874
_cell_length_b 4.5874
_cell_length_c 4.5874
_cell_angle_alpha 60.00
_cell_angle_beta 60.00
_cell_angle_gamma 60.00
loop_
_atom_site_label
_atom_site_fract_x
_atom_site_fract_y
_atom_site_fract_z
Sn1 0.7500 0.7500 0.7500
Cr1 0.0000 0.0000 0.0000
Sn2 0.2500 0.2500 0.2500
Fe1 0.5000 0.5000 0.5000
```

The structure with the greatest stability is (2).

(1)
This record from Alexandria describes crystalline SrCrFe2 at its relaxed geometry. The functional is PBE.

The space group is Pmmm, No. 47. The calculation puts the density of states at the Fermi level at 1.045 states/eV/atom.

```
data_SrCrFe2
_chemical_formula_sum 'Sr1 Cr1 Fe2'
_space_group_name_H-M_alt 'P 1'
_space_group_IT_number 1
_space_group_name_Hall 'P 1'
_cell_length_a 3.0859
_cell_length_b 3.1147
_cell_length_c 7.8302
_cell_angle_alpha 66.57
_cell_angle_beta 90.00
_cell_angle_gamma 90.00
loop_
_atom_site_label
_atom_site_fract_x
_atom_site_fract_y
_atom_site_fract_z
Cr1 0.5000 0.7500 0.7500
Fe1 0.0000 0.0900 0.9102
Fe2 0.0000 0.4100 0.5898
Sr1 0.5000 0.2500 0.2500
```

(2)
This record from Alexandria describes crystalline SrCrFe2 at its relaxed geometry. The functional is PBE.

The space group is P4/mmm, No. 123. The calculation puts the density of states at the Fermi level at 1.186 states/eV/atom.

```
data_SrCrFe2
_chemical_formula_sum 'Sr1 Cr1 Fe2'
_space_group_name_H-M_alt 'P 1'
_space_group_IT_number 1
_space_group_name_Hall 'P 1'
_cell_length_a 2.9832
_cell_length_b 4.8630
_cell_length_c 4.8630
_cell_angle_alpha 90.00
_cell_angle_beta 90.00
_cell_angle_gamma 90.00
loop_
_atom_site_label
_atom_site_fract_x
_atom_site_fract_y
_atom_site_fract_z
Cr1 0.5000 0.0000 0.5000
Sr1 0.5000 0.5000 0.0000
Fe1 0.0000 0.0000 0.0000
Fe2 0.0000 0.5000 0.5000
```

The structure with the greatest stability is (1).

(1)
This record from Alexandria describes crystalline SrCrFe2 at its relaxed geometry. The functional is PBE.

The space group is C2/m, No. 12. The calculation puts the density of states at the Fermi level at 1.332 states/eV/atom.

```
data_SrCrFe2
_chemical_formula_sum 'Sr1 Cr1 Fe2'
_space_group_name_H-M_alt 'P 1'
_space_group_IT_number 1
_space_group_name_Hall 'P 1'
_cell_length_a 6.3114
_cell_length_b 5.2073
_cell_length_c 2.8092
_cell_angle_alpha 90.10
_cell_angle_beta 63.38
_cell_angle_gamma 119.02
loop_
_atom_site_label
_atom_site_fract_x
_atom_site_fract_y
_atom_site_fract_z
Cr1 0.5000 0.5000 0.0000
Fe1 0.0000 0.0000 0.0000
Fe2 0.5000 0.0000 0.5000
Sr1 0.0000 0.5000 0.5000
```

(2)
This record from Alexandria describes crystalline SrCrFe2 at its relaxed geometry. The functional is PBE.

The space group is P4/mmm, No. 123. The calculation puts the density of states at the Fermi level at 1.093 states/eV/atom.

```
data_SrCrFe2
_chemical_formula_sum 'Sr1 Cr1 Fe2'
_space_group_name_H-M_alt 'P 1'
_space_group_IT_number 1
_space_group_name_Hall 'P 1'
_cell_length_a 4.1514
_cell_length_b 4.1520
_cell_length_c 4.3165
_cell_angle_alpha 90.00
_cell_angle_beta 90.00
_cell_angle_gamma 90.00
loop_
_atom_site_label
_atom_site_fract_x
_atom_site_fract_y
_atom_site_fract_z
Sr1 0.5000 0.0000 0.5000
Cr1 0.0000 0.5000 0.5000
Fe1 0.5000 0.5000 0.0000
Fe2 0.0000 0.0000 0.0000
```

(3)
This record from Alexandria describes crystalline SrCrFe2 at its relaxed geometry. The functional is PBE.

The space group is P4mm, No. 99. The calculation puts the density of states at the Fermi level at 1.137 states/eV/atom.

```
data_SrCrFe2
_chemical_formula_sum 'Sr1 Cr1 Fe2'
_space_group_name_H-M_alt 'P 1'
_space_group_IT_number 1
_space_group_name_Hall 'P 1'
_cell_length_a 3.1615
_cell_length_b 3.1615
_cell_length_c 7.3458
_cell_angle_alpha 90.00
_cell_angle_beta 90.00
_cell_angle_gamma 90.00
loop_
_atom_site_label
_atom_site_fract_x
_atom_site_fract_y
_atom_site_fract_z
Sr1 0.0000 0.0000 0.4895
Fe1 0.5000 0.5000 0.1606
Fe2 0.0000 0.0000 0.0011
Cr1 0.5000 0.5000 0.8488
```

The structure with the greatest stability is (3).

(1)
This record from Alexandria describes crystalline SrCrFe2 at its relaxed geometry. The functional is PBE.

The space group is Pm, No. 6. The calculation puts the density of states at the Fermi level at 1.053 states/eV/atom.

```
data_SrCrFe2
_chemical_formula_sum 'Sr1 Cr1 Fe2'
_space_group_name_H-M_alt 'P 1'
_space_group_IT_number 1
_space_group_name_Hall 'P 1'
_cell_length_a 3.8083
_cell_length_b 3.6674
_cell_length_c 6.1503
_cell_angle_alpha 72.55
_cell_angle_beta 90.00
_cell_angle_gamma 90.00
loop_
_atom_site_label
_atom_site_fract_x
_atom_site_fract_y
_atom_site_fract_z
Fe1 0.5000 0.1026 0.1675
Fe2 0.0000 0.2079 0.9647
Cr1 0.5000 0.7324 0.9113
Sr1 0.0000 0.4571 0.4565
```

(2)
This record from Alexandria describes crystalline SrCrFe2 at its relaxed geometry. The functional is PBE.

The space group is F-43m, No. 216. The calculation puts the density of states at the Fermi level at 0.959 states/eV/atom.

```
data_SrCrFe2
_chemical_formula_sum 'Sr1 Cr1 Fe2'
_space_group_name_H-M_alt 'P 1'
_space_group_IT_number 1
_space_group_name_Hall 'P 1'
_cell_length_a 4.6974
_cell_length_b 4.6974
_cell_length_c 4.6974
_cell_angle_alpha 60.00
_cell_angle_beta 60.00
_cell_angle_gamma 60.00
loop_
_atom_site_label
_atom_site_fract_x
_atom_site_fract_y
_atom_site_fract_z
Fe1 0.2500 0.2500 0.2500
Cr1 0.5000 0.5000 0.5000
Fe2 0.0000 0.0000 0.0000
Sr1 0.7500 0.7500 0.7500
```

The structure with the greatest stability is (1).